First-principles (PBE-GGA) data for an optimized crystal structure of ZrCd2Ir, as listed in the Alexandria database.

DFT formation energy	-145.5	meV/atom
E	-19.821	eV for the cell shown
magnetization	0.000	μB per formula unit

Lattice parameters (Å, degrees): 5.413 5.413 4.599 75.14 75.14 36.64
Fractional positions:
1 Cd 0.988 0.988 0.014
2 Cd 0.512 0.512 0.486
3 Ir 0.250 0.250 0.250
4 Zr 0.750 0.750 0.750

First-principles (PBE-GGA) data for an optimized crystal structure of ZrCdIr, as listed in the Alexandria database.

DFT formation energy	-268.5	meV/atom
E	-19.130	eV for the cell shown
magnetization	0.000	μB per formula unit

Lattice parameters (Å, degrees): 4.653 4.653 2.988 90.00 90.00 120.00
Fractional positions:
1 Cd 0.000 0.000 0.066
2 Ir 0.667 0.333 0.313
3 Zr 0.333 0.667 0.620

First-principles (PBE-GGA) data for an optimized crystal structure of ZrCd2Ir, as listed in the Alexandria database.

DFT formation energy	-276.7	meV/atom
E	-20.346	eV for the cell shown
magnetization	0.000	μB per formula unit

Lattice parameters (Å, degrees): 3.398 3.246 8.035 66.28 90.00 90.00
Fractional positions:
1 Cd 0.000 0.999 0.002
2 Cd 0.500 0.228 0.272
3 Ir 0.000 0.479 0.520
4 Zr 0.500 0.794 0.707

First-principles (PBE-GGA) data for an optimized crystal structure of ZrCd2Ir, as listed in the Alexandria database.

DFT formation energy	-65.5	meV/atom
E	-19.501	eV for the cell shown
magnetization	0.000	μB per formula unit

Lattice parameters (Å, degrees): 9.924 9.924 9.924 17.89 17.89 17.89
Fractional positions:
1 Cd 0.002 0.002 0.002
2 Cd 0.243 0.243 0.243
3 Ir 0.496 0.496 0.496
4 Zr 0.759 0.759 0.759

Repeat the third record exactly.
First-principles (PBE-GGA) data for an optimized crystal structure of ZrCd2Ir, as listed in the Alexandria database.

DFT formation energy	-276.7	meV/atom
E	-20.346	eV for the cell shown
magnetization	0.000	μB per formula unit

Lattice parameters (Å, degrees): 3.398 3.246 8.035 66.28 90.00 90.00
Fractional positions:
1 Cd 0.000 0.999 0.002
2 Cd 0.500 0.228 0.272
3 Ir 0.000 0.479 0.520
4 Zr 0.500 0.794 0.707